(1)
First-principles (PBE) data for ZnRuRh2 after structural relaxation, as listed in the Alexandria database.

The structure in extended XYZ format:
```
4
Lattice="-1.895 1.895 3.904 1.895 -1.895 3.904 1.895 1.895 -3.904" Properties=species:S:1:pos:R:3 pbc="T T T"
Zn 0.000 0.000 0.000
Ru 0.000 1.895 1.952
Rh 1.895 0.000 1.952
Rh 0.000 0.000 3.904
```

SG: I-4m2 (119)
M_tot, μB/f.u.: 0.00
ΔH_f (0 K), meV/atom: -44
Calculated total energy, eV for the cell shown: -25.428
V, Å³ per cell: 56

(2)
First-principles (PBE) data for Zn4RuRh after structural relaxation, as listed in the Alexandria database.

The structure in extended XYZ format:
```
6
Lattice="0.000 3.456 3.456 3.456 0.000 3.456 3.456 3.456 0.000" Properties=species:S:1:pos:R:3 pbc="T T T"
Zn 0.865 0.865 0.865
Zn 2.591 2.591 0.865
Zn 2.591 0.865 2.591
Zn 0.865 2.591 2.591
Ru 3.456 3.456 3.456
Rh 5.184 5.184 5.184
```

SG: F-43m (216)
M_tot, μB/f.u.: 0.34
ΔH_f (0 K), meV/atom: -5
Calculated total energy, eV for the cell shown: -21.751
V, Å³ per cell: 83

(3)
First-principles (PBE) data for ZnRuRh2 after structural relaxation, as listed in the Alexandria database.

The structure in extended XYZ format:
```
4
Lattice="2.752 0.000 0.000 0.000 2.752 0.000 0.000 0.000 7.390" Properties=species:S:1:pos:R:3 pbc="T T T"
Zn 0.000 0.000 0.000
Ru 0.000 0.000 3.695
Rh 1.376 1.376 1.858
Rh 1.376 1.376 5.532
```

SG: P4/mmm (123)
M_tot, μB/f.u.: 0.00
ΔH_f (0 K), meV/atom: -149
Calculated total energy, eV for the cell shown: -25.848
V, Å³ per cell: 56

(4)
First-principles (PBE) data for Zn2RuRh2 after structural relaxation, as listed in the Alexandria database.

The structure in extended XYZ format:
```
5
Lattice="-1.803 1.803 5.987 1.803 -1.803 5.987 1.803 1.803 -5.987" Properties=species:S:1:pos:R:3 pbc="T T T"
Zn 0.000 0.000 1.158
Zn 0.000 0.000 10.816
Ru 0.000 0.000 5.987
Rh 1.803 0.000 2.993
Rh 0.000 1.803 2.993
```

Energy above the most stable polymorph in this dataset, eV/f.u.: 2.02
SG: I4/mmm (139)
M_tot, μB/f.u.: 2.33
ΔH_f (0 K), meV/atom: 434
Calculated total energy, eV for the cell shown: -24.355
V, Å³ per cell: 78

(5)
First-principles (PBE) data for Zn2RuRh2 after structural relaxation, as listed in the Alexandria database.

The structure in extended XYZ format:
```
10
Lattice="7.052 0.000 0.000 0.000 7.052 0.000 0.000 0.000 2.858" Properties=species:S:1:pos:R:3 pbc="T T T"
Zn 0.879 2.647 0.000
Zn 2.647 6.173 0.000
Zn 4.404 0.879 0.000
Zn 6.173 4.404 0.000
Ru 0.000 0.000 0.000
Ru 3.526 3.526 0.000
Rh 1.238 4.764 1.429
Rh 2.288 1.238 1.429
Rh 4.764 5.814 1.429
Rh 5.814 2.288 1.429
```

Energy above the most stable polymorph in this dataset, eV/f.u.: 0.00
SG: P4/mbm (127)
M_tot, μB/f.u.: 0.72
ΔH_f (0 K), meV/atom: 31
Calculated total energy, eV for the cell shown: -52.741
V, Å³ per cell: 142

(6)
First-principles (PBE) data for ZnRuRh2 after structural relaxation, as listed in the Alexandria database.

The structure in extended XYZ format:
```
4
Lattice="4.523 0.000 0.000 0.000 4.523 0.000 0.000 0.000 2.796" Properties=species:S:1:pos:R:3 pbc="T T T"
Zn 0.000 0.000 0.000
Ru 2.262 2.262 0.000
Rh 0.000 2.262 1.398
Rh 2.262 0.000 1.398
```

SG: P4/mmm (123)
M_tot, μB/f.u.: 1.34
ΔH_f (0 K), meV/atom: 47
Calculated total energy, eV for the cell shown: -25.064
V, Å³ per cell: 57